Entry from Alexandria: a geometry-optimized BiP2PdO8 structure (PBE-GGA).

Unit cell a=5.2098 b=5.2098 c=6.8903 alpha=90.00 beta=90.00 gamma=120.00
Closest atoms and distances in Å follow each position.
Element x y z (fractional)
Bi  0.0000  0.0000  0.5000  6 O 2.48
P  0.3333  0.6667  0.7211  4 O 1.53-1.56
Pd  0.0000  0.0000  0.0000  6 O 2.12
O  0.6667  0.3333  0.5015  1 P 1.53
O  0.3358  0.1679  0.2142  1 P 1.56
O  0.8321  0.1679  0.2142  1 P 1.56
O  0.1679  0.8321  0.7858  1 P 1.56
O  0.8321  0.6642  0.2142  1 P 1.56
O  0.6642  0.8321  0.7858  1 P 1.56
P  0.6667  0.3333  0.2789  4 O 1.53-1.56
O  0.1679  0.3358  0.7858  1 P 1.56
O  0.3333  0.6667  0.4985  1 P 1.53

Computed properties:
mass density	5.2	Mg/m³
space group	P-3m1
spin magnetization	1.0	μB/f.u.
crystal system	trigonal
E	-6.4739	eV per atom